# 1
DFT (PBEsol) results for a relaxed structure of La2AgOs.

Properties
energy = -6.67 eV/atom
N(E_F) = 0.59 states/eV/atom
SG = No. 123
ΔE_f = -10.6 kJ per mole of atoms

Unit cell a=3.4573 b=3.4573 c=7.9798 alpha=90.00 beta=90.00 gamma=90.00
Fractional coordinates of all 4 atoms:
1 La 0.0000 0.0000 0.2216
2 La 0.0000 0.0000 0.7784
3 Ag 0.5000 0.5000 0.5000
4 Os 0.5000 0.5000 0.0000

---

# 2
DFT (PBEsol) results for a relaxed structure of YZn2Ru.

Properties
energy = -5.15 eV/atom
N(E_F) = 0.71 states/eV/atom
SG = No. 123
ΔE_f = -10.8 kJ per mole of atoms

Unit cell a=3.9145 b=3.9145 c=4.3416 alpha=90.00 beta=90.00 gamma=90.00
Fractional coordinates of all 4 atoms:
1 Y 0.0000 0.0000 0.0000
2 Zn 0.0000 0.5000 0.5000
3 Zn 0.5000 0.0000 0.5000
4 Ru 0.5000 0.5000 0.0000

---

# 3
DFT (PBEsol) results for a relaxed structure of CoTcIr2.

Properties
energy = -9.76 eV/atom
N(E_F) = 1.10 states/eV/atom
SG = No. 47
ΔE_f = -9.7 kJ per mole of atoms

Unit cell a=2.6708 b=3.7123 c=5.2933 alpha=90.00 beta=90.00 gamma=90.00
Fractional coordinates of all 4 atoms:
1 Co 0.0000 0.0000 0.0000
2 Tc 0.0000 0.0000 0.5000
3 Ir 0.5000 0.5000 0.2436
4 Ir 0.5000 0.5000 0.7564

---

Question: Which of these has the highest N(E_F)?
Answer: CoTcIr2